# 1
An optimized crystal structure of KV3Ir, computed with GGA-PBE.

Energy   -6.521 eV per atom
Energy relative to the elements   942 meV/atom

Unit cell a=4.9008 b=4.9008 c=4.9008 alpha=90.00 beta=90.00 gamma=90.00
Closest atoms and distances in Å follow each position.
Element x y z (fractional)
1 K 0.0000 0.0000 0.0000  12 V 3.47
2 V 0.0000 0.5000 0.5000  2 Ir 2.45
3 V 0.5000 0.0000 0.5000  2 Ir 2.45
4 V 0.5000 0.5000 0.0000  2 Ir 2.45
5 Ir 0.5000 0.5000 0.5000  6 V 2.45

=====

# 2
An optimized crystal structure of K2VIr, computed with GGA-PBE.

Energy   -4.172 eV per atom
Excess energy over the best structure of this formula in the dataset   0.0 meV/atom
Energy relative to the elements   872 meV/atom

Unit cell a=9.0069 b=9.0069 c=9.0069 alpha=93.84 beta=93.84 gamma=150.02
Closest atoms and distances in Å follow each position.
Element x y z (fractional)
1 K 0.3750 0.1988 0.3238  2 Ir 3.26
2 K 0.8012 0.1250 0.1762  2 Ir 3.26
3 K 0.8750 0.0512 0.6762  2 Ir 3.26
4 K 0.9488 0.6250 0.8238  2 Ir 3.26
5 V 0.2500 0.7500 0.5000  2 Ir 2.33
6 V 0.5000 0.5000 0.0000  2 Ir 2.33
7 Ir 0.0000 0.0000 0.0000  2 V 2.33
8 Ir 0.7500 0.2500 0.5000  2 V 2.33

=====

# 3
An optimized crystal structure of KVIr2, computed with GGA-PBE.

Energy   -6.063 eV per atom
Excess energy over the best structure of this formula in the dataset   180.8 meV/atom
Energy relative to the elements   921 meV/atom

Unit cell a=4.5552 b=4.5552 c=4.5552 alpha=60.00 beta=60.00 gamma=60.00
Closest atoms and distances in Å follow each position.
Element x y z (fractional)
1 K 0.0000 0.0000 0.0000  8 Ir 2.79
2 V 0.5000 0.5000 0.5000  8 Ir 2.79
3 Ir 0.2500 0.2500 0.2500  4 V 2.79, 4 K 2.79
4 Ir 0.7500 0.7500 0.7500  4 V 2.79, 4 K 2.79

=====

# 4
An optimized crystal structure of KV2Ir, computed with GGA-PBE.

Energy   -6.041 eV per atom
Excess energy over the best structure of this formula in the dataset   0.0 meV/atom
Energy relative to the elements   1008 meV/atom

Unit cell a=4.5153 b=4.5153 c=4.5153 alpha=60.00 beta=60.00 gamma=60.00
Closest atoms and distances in Å follow each position.
Element x y z (fractional)
1 K 0.0000 0.0000 0.0000  8 V 2.77
2 V 0.2500 0.2500 0.2500  4 K 2.77, 4 Ir 2.77
3 V 0.7500 0.7500 0.7500  4 K 2.77, 4 Ir 2.77
4 Ir 0.5000 0.5000 0.5000  8 V 2.77

=====

- Which of these has the highest energy relative to the elements?
  KV2Ir

=====

- Among the records above, which one has the lowest energy?
  KV3Ir

=====

- Among the records above, which one has the highest energy relative to the elements?
  KV2Ir